Record 1
# ReAs2SeI | Alexandria | GGA-PBEsol | optimized geometry
# Formation energy (no corrections): 2.161 eV/f.u.
# Spin magnetization: 0.00 μB/cell
# DOS(E_F): 3.45 states/eV/f.u.
# Calculated total energy: -27.0 eV/f.u.
data_ReAs2SeI
_cell_length_a 4.881
_cell_length_b 4.881
_cell_length_c 4.764
_cell_angle_alpha 90.00
_cell_angle_beta 90.00
_cell_angle_gamma 90.00
_space_group_name_H-M_alt 'P 4/m m m'
_space_group_IT_number 123
_space_group_name_Hall '-P 4 2'
loop_
_atom_site_label
_atom_site_type_symbol
_atom_site_fract_x
_atom_site_fract_y
_atom_site_fract_z
Re1 Re 0.000 0.000 0.000
As1 As 0.000 0.500 0.000
Se1 Se 0.000 0.000 0.500
I1 I 0.500 0.500 0.500

---

Record 2
# AsRuI2 | Alexandria | GGA-PBEsol | optimized geometry
# Formation energy (no corrections): 0.910 eV/f.u.
# Spin magnetization: 0.00 μB/cell
# DOS(E_F): 2.75 states/eV/f.u.
# Calculated total energy: -17.9 eV/f.u.
data_AsRuI2
_cell_length_a 9.936
_cell_length_b 9.936
_cell_length_c 4.628
_cell_angle_alpha 90.00
_cell_angle_beta 90.00
_cell_angle_gamma 90.00
_space_group_name_H-M_alt 'I -4 2 d'
_space_group_IT_number 122
_space_group_name_Hall 'I -4 2bw'
loop_
_atom_site_label
_atom_site_type_symbol
_atom_site_fract_x
_atom_site_fract_y
_atom_site_fract_z
As1 As 0.000 0.000 0.000
Ru1 Ru 0.000 0.000 0.500
I1 I 0.099 0.250 0.625

---

Record 3
# AsS24I3 | Alexandria | GGA-PBEsol | optimized geometry
# Formation energy (no corrections): -0.570 eV/f.u.
# Spin magnetization: 0.00 μB/cell
# DOS(E_F): 0.00 states/eV/f.u.
# Calculated total energy: -116.2 eV/f.u.
data_AsS24I3
_cell_length_a 24.3489
_cell_length_b 24.3489
_cell_length_c 4.3770
_cell_angle_alpha 90.00
_cell_angle_beta 90.00
_cell_angle_gamma 120.00
_space_group_name_H-M_alt 'R 3 m'
_space_group_IT_number 160
_space_group_name_Hall 'R 3 -2"'
loop_
_atom_site_label
_atom_site_type_symbol
_atom_site_fract_x
_atom_site_fract_y
_atom_site_fract_z
As1 As 0.0000 0.0000 0.0000
S1 S 0.0366 0.4503 0.9761
S2 S 0.0717 0.5358 0.1971
S3 S 0.0893 0.3728 0.5526
S4 S 0.1588 0.4547 0.3508
S5 S 0.1817 0.0908 0.9172
I1 I 0.0542 0.1084 0.2813

---

Record 4
# SbAs3I | Alexandria | GGA-PBEsol | optimized geometry
# Formation energy (no corrections): 6.263 eV/f.u.
# Spin magnetization: 0.00 μB/cell
# DOS(E_F): 4.14 states/eV/f.u.
# Calculated total energy: -15.4 eV/f.u.
data_SbAs3I
_cell_length_a 5.248
_cell_length_b 5.248
_cell_length_c 5.248
_cell_angle_alpha 90.00
_cell_angle_beta 90.00
_cell_angle_gamma 90.00
_space_group_name_H-M_alt 'P m -3 m'
_space_group_IT_number 221
_space_group_name_Hall '-P 4 2 3'
loop_
_atom_site_label
_atom_site_type_symbol
_atom_site_fract_x
_atom_site_fract_y
_atom_site_fract_z
Sb1 Sb 0.000 0.000 0.000
As1 As 0.000 0.500 0.500
I1 I 0.500 0.500 0.500

---

Record 5
# SnSbAsI2 | Alexandria | GGA-PBEsol | optimized geometry
# Formation energy (no corrections): 1.874 eV/f.u.
# Spin magnetization: 0.00 μB/cell
# DOS(E_F): 3.97 states/eV/f.u.
# Calculated total energy: -15.6 eV/f.u.
data_SnSbAsI2
_cell_length_a 5.484
_cell_length_b 5.484
_cell_length_c 5.500
_cell_angle_alpha 90.00
_cell_angle_beta 90.00
_cell_angle_gamma 90.00
_space_group_name_H-M_alt 'P 4/m m m'
_space_group_IT_number 123
_space_group_name_Hall '-P 4 2'
loop_
_atom_site_label
_atom_site_type_symbol
_atom_site_fract_x
_atom_site_fract_y
_atom_site_fract_z
Sn1 Sn 0.000 0.000 0.000
Sb1 Sb 0.500 0.500 0.000
As1 As 0.500 0.500 0.500
I1 I 0.000 0.500 0.500

---

Record 6
# TlSbAsI2 | Alexandria | GGA-PBEsol | optimized geometry
# Formation energy (no corrections): 4.152 eV/f.u.
# Spin magnetization: 1.11 μB/cell
# DOS(E_F): 4.33 states/eV/f.u.
# Calculated total energy: -11.7 eV/f.u.
data_TlSbAsI2
_cell_length_a 5.829
_cell_length_b 5.829
_cell_length_c 5.860
_cell_angle_alpha 90.00
_cell_angle_beta 90.00
_cell_angle_gamma 90.00
_space_group_name_H-M_alt 'P 4/m m m'
_space_group_IT_number 123
_space_group_name_Hall '-P 4 2'
loop_
_atom_site_label
_atom_site_type_symbol
_atom_site_fract_x
_atom_site_fract_y
_atom_site_fract_z
Tl1 Tl 0.000 0.000 0.000
Sb1 Sb 0.000 0.000 0.500
As1 As 0.500 0.500 0.500
I1 I 0.000 0.500 0.000